# 1
VASP calculation (PBE-GGA) on crystalline RbAs2H at its relaxed geometry.

As for the distance to the lowest polymorph of the same formula: 0.00 eV per formula unit.

Cell lengths 6.2900, 6.2900, 6.3444 Å; angles 60.28, 60.28, 90.00 degrees
Sites, in units of the cell vectors:
H 0.5000 0.5000 0.0000
H 0.2500 0.7500 0.5000
As 0.3749 0.1250 0.2500
As 0.3751 0.6250 0.2500
As 0.3750 0.6251 0.7500
As 0.8750 0.6249 0.7500
Rb 0.0000 0.0000 0.0000
Rb 0.7500 0.2500 0.5000

# 2
VASP calculation (PBE-GGA) on crystalline Rb3As2H5 at its relaxed geometry.

The value obtained for the energy is -2.942 eV per atom.

Cell lengths 7.4948, 10.1403, 10.1403 Å; angles 41.31, 68.31, 68.31 degrees
Sites, in units of the cell vectors:
Rb 0.2500 0.0000 0.0000
Rb 0.7500 0.0000 0.0000
Rb 0.3717 0.5512 0.7054
Rb 0.6283 0.4488 0.2946
Rb 0.8717 0.7054 0.5512
Rb 0.1283 0.2946 0.4488
As 0.1703 0.7731 0.8864
As 0.8297 0.2269 0.1136
As 0.6703 0.8864 0.7731
As 0.3297 0.1136 0.2269
H 0.2500 0.5000 0.5000
H 0.7500 0.5000 0.5000
H 0.4099 0.8401 0.8401
H 0.0901 0.1599 0.1599
H 0.5901 0.1599 0.1599
H 0.9099 0.8401 0.8401
H 0.1001 0.7081 0.0918
H 0.8999 0.2919 0.9082
H 0.6001 0.0918 0.7081
H 0.3999 0.9082 0.2919

# 3
VASP calculation (PBE-GGA) on crystalline Rb3AsH at its relaxed geometry.

As for the distance to the lowest polymorph of the same formula: 0.36 eV per formula unit.

Cell lengths 7.5449, 8.3156, 11.9545 Å; angles 81.99, 90.00, 90.00 degrees
Last column: magnetic moment on the atom in μB.
Sites, in units of the cell vectors:
Rb 0.9434 0.0783 0.3329  0.00
Rb 0.0566 0.9217 0.6671  0.00
Rb 0.4434 0.9217 0.1671  0.00
Rb 0.5566 0.0783 0.8329  0.00
Rb 0.4481 0.2320 0.4327  0.01
Rb 0.5519 0.7680 0.5673  0.01
Rb 0.9481 0.7680 0.0673  0.01
Rb 0.0519 0.2320 0.9327  0.01
Rb 0.8250 0.3948 0.6069  0.01
Rb 0.1750 0.6052 0.3931  0.01
Rb 0.3250 0.6052 0.8931  0.01
Rb 0.6750 0.3948 0.1069  0.01
As 0.2168 0.3792 0.1683  0.38
As 0.7832 0.6208 0.8317  0.38
As 0.7168 0.6208 0.3317  0.38
As 0.2832 0.3792 0.6683  0.38
H 0.7530 0.0731 0.5564  0.00
H 0.2470 0.9269 0.4436  0.00
H 0.2530 0.9269 0.9436  0.00
H 0.7470 0.0731 0.0564  0.00

# 4
VASP calculation (PBE-GGA) on crystalline RbAsH at its relaxed geometry.

As for the distance to the lowest polymorph of the same formula: 0.02 eV per formula unit.

Cell lengths 5.5302, 5.7984, 6.4583 Å; angles 82.63, 88.38, 62.30 degrees
Sites, in units of the cell vectors:
Rb 0.2442 0.6924 0.3174
Rb 0.5593 0.0493 0.8227
As 0.9298 0.3734 0.0470
As 0.8535 0.4496 0.6628
H 0.7279 0.2607 0.1239
H 0.0471 0.1691 0.6025

# 5
VASP calculation (PBE-GGA) on crystalline Rb12As3H5 at its relaxed geometry.

The value obtained for the energy is -2.278 eV per atom.

Cell lengths 16.1182, 16.1182, 16.1182 Å; angles 109.47, 109.47, 109.47 degrees
Last column: magnetic moment on the atom in μB.
Sites, in units of the cell vectors:
As 0.7500 0.3750 0.1250  0.26
As 0.8750 0.7500 0.1250  0.26
As 0.3750 0.7500 0.6250  0.26
As 0.2500 0.1250 0.3750  0.26
As 0.8750 0.1250 0.2500  0.26
As 0.3750 0.6250 0.2500  0.26
As 0.6250 0.3750 0.7500  0.26
As 0.1250 0.8750 0.7500  0.26
As 0.7500 0.8750 0.6250  0.26
As 0.6250 0.2500 0.3750  0.26
As 0.1250 0.2500 0.8750  0.26
As 0.2500 0.6250 0.8750  0.26
H 0.1250 0.3750 0.2500  0.00
H 0.0000 0.5000 0.0000  0.00
H 0.0000 0.0000 0.0000  0.00
H 0.3750 0.2500 0.1250  0.00
H 0.5000 0.0000 0.5000  0.00
H 0.5000 0.5000 0.0000  0.00
H 0.1250 0.7500 0.3750  0.00
H 0.7500 0.1250 0.8750  0.00
H 0.7500 0.6250 0.3750  0.00
H 0.3750 0.1250 0.7500  0.00
H 0.6250 0.8750 0.2500  0.00
H 0.5000 0.5000 0.5000  0.00
H 0.5000 0.0000 0.0000  0.00
H 0.0000 0.0000 0.5000  0.00
H 0.2500 0.3750 0.6250  0.00
H 0.2500 0.8750 0.1250  0.00
H 0.0000 0.5000 0.5000  0.00
H 0.8750 0.2500 0.6250  0.00
H 0.6250 0.7500 0.8750  0.00
H 0.8750 0.6250 0.7500  0.00
Rb 0.7113 0.1272 0.0323  0.01
Rb 0.3210 0.5323 0.4051  0.01
Rb 0.9677 0.3728 0.2887  0.01
Rb 0.5323 0.2113 0.1272  0.01
Rb 0.5841 0.7113 0.6790  0.01
Rb 0.9677 0.5949 0.1790  0.01
Rb 0.3210 0.7887 0.4159  0.01
Rb 0.0949 0.9159 0.1272  0.01
Rb 0.5949 0.9677 0.6790  0.01
Rb 0.7113 0.5841 0.1790  0.01
Rb 0.7887 0.4677 0.3728  0.01
Rb 0.8210 0.9051 0.0323  0.01
Rb 0.1272 0.7113 0.5323  0.01
Rb 0.3728 0.4051 0.0841  0.01
Rb 0.0841 0.9051 0.3728  0.01
Rb 0.4159 0.1272 0.5949  0.01
Rb 0.0841 0.1790 0.2113  0.01
Rb 0.4677 0.6790 0.0949  0.01
Rb 0.8210 0.9159 0.2887  0.01
Rb 0.1272 0.4159 0.0949  0.01
Rb 0.3728 0.9677 0.7887  0.01
Rb 0.5949 0.6272 0.4159  0.01
Rb 0.9051 0.8210 0.5323  0.01
Rb 0.7887 0.3210 0.9159  0.01
Rb 0.4051 0.3728 0.5841  0.01
Rb 0.0949 0.1790 0.4677  0.01
Rb 0.2113 0.6790 0.0841  0.01
Rb 0.1790 0.0841 0.7113  0.01
Rb 0.6272 0.0323 0.2113  0.01
Rb 0.8728 0.5841 0.9051  0.01
Rb 0.5323 0.3210 0.9051  0.01
Rb 0.5841 0.8728 0.4051  0.01
Rb 0.9159 0.8210 0.7887  0.01
Rb 0.9159 0.0949 0.6272  0.01
Rb 0.8728 0.2887 0.4677  0.01
Rb 0.1790 0.0949 0.9677  0.01
Rb 0.6272 0.5949 0.9159  0.01
Rb 0.4051 0.0323 0.3210  0.01
Rb 0.2887 0.4159 0.8210  0.01
Rb 0.2113 0.5323 0.6272  0.01
Rb 0.9051 0.0841 0.8728  0.01
Rb 0.6790 0.2113 0.5841  0.01
Rb 0.4677 0.7887 0.8728  0.01
Rb 0.0323 0.4051 0.8210  0.01
Rb 0.4159 0.2887 0.3210  0.01
Rb 0.0323 0.6272 0.7113  0.01
Rb 0.6790 0.4677 0.5949  0.01
Rb 0.2887 0.8728 0.9677  0.01

# 6
VASP calculation (PBE-GGA) on crystalline RbAsH2 at its relaxed geometry.

As for the distance to the lowest polymorph of the same formula: 1.10 eV per formula unit.

Cell lengths 5.0624, 5.0624, 6.6968 Å; angles 67.79, 67.79, 90.00 degrees
Sites, in units of the cell vectors:
H 0.3744 0.1250 0.2500
H 0.3756 0.6250 0.2500
H 0.3750 0.6256 0.7500
H 0.8750 0.6244 0.7500
As 0.5000 0.5000 0.0000
As 0.2500 0.7500 0.5000
Rb 0.0000 0.0000 0.0000
Rb 0.7500 0.2500 0.5000

# 7
VASP calculation (PBE-GGA) on crystalline RbAsH2 at its relaxed geometry.

As for the distance to the lowest polymorph of the same formula: 0.00 eV per formula unit.

Cell lengths 5.7488, 4.6045, 14.8957 Å; angles 90.00, 90.00, 90.00 degrees
Sites, in units of the cell vectors:
Rb 0.2500 0.7504 0.3773
Rb 0.2500 0.7496 0.8773
Rb 0.7500 0.2496 0.6227
Rb 0.7500 0.2504 0.1227
As 0.2500 0.7495 0.6152
As 0.2500 0.7505 0.1152
As 0.7500 0.2505 0.3848
As 0.7500 0.2495 0.8848
H 0.2500 0.5090 0.6879
H 0.2500 0.9910 0.1879
H 0.7500 0.4910 0.3121
H 0.7500 0.0090 0.8121
H 0.2500 0.9893 0.6881
H 0.2500 0.5107 0.1881
H 0.7500 0.0107 0.3119
H 0.7500 0.4893 0.8119

# 8
VASP calculation (PBE-GGA) on crystalline RbAs3H at its relaxed geometry.

The value obtained for the energy is -3.168 eV per atom.

Cell lengths 4.6231, 4.6231, 4.6231 Å; angles 90.00, 90.00, 90.00 degrees
Sites, in units of the cell vectors:
H 0.0000 0.0000 0.0000
As 0.0000 0.5000 0.0000
As 0.0000 0.0000 0.5000
As 0.5000 0.0000 0.0000
Rb 0.5000 0.5000 0.5000

# 9
VASP calculation (PBE-GGA) on crystalline Rb3AsH at its relaxed geometry.

As for the distance to the lowest polymorph of the same formula: 0.25 eV per formula unit.

Cell lengths 5.5869, 5.5869, 5.5869 Å; angles 90.00, 90.00, 90.00 degrees
Last column: magnetic moment on the atom in μB.
Sites, in units of the cell vectors:
H 0.0000 0.0000 0.0000  0.00
As 0.5000 0.5000 0.5000  0.37
Rb 0.0000 0.5000 0.0000  0.01
Rb 0.0000 0.0000 0.5000  0.00
Rb 0.5000 0.0000 0.0000  0.01

# 10
VASP calculation (PBE-GGA) on crystalline RbAsH at its relaxed geometry.

As for the distance to the lowest polymorph of the same formula: 0.00 eV per formula unit.

Cell lengths 5.3644, 6.5028, 6.6157 Å; angles 71.54, 68.21, 65.75 degrees
Sites, in units of the cell vectors:
Rb 0.0467 0.7372 0.5273
Rb 0.6054 0.2013 0.9777
As 0.3305 0.8198 0.8891
As 0.3461 0.1361 0.5661
H 0.2022 0.9604 0.0795
H 0.0400 0.2125 0.5366